(1)
# PuSc2Zn

Crystalline PuSc2Zn at its relaxed geometry (PBE-GGA, the Alexandria database).

Structure (CIF):
```
data_PuSc2Zn
_chemical_formula_sum 'Pu1 Sc2 Zn1'
_symmetry_space_group_name_H-M 'P 4/m m m'
_symmetry_Int_Tables_number 123
_symmetry_space_group_name_Hall '-P 4 2'
_cell_length_a 5.0194
_cell_length_b 5.0194
_cell_length_c 3.3766
_cell_angle_alpha 90.00
_cell_angle_beta 90.00
_cell_angle_gamma 90.00
loop_
_atom_site_label
_atom_site_fract_x
_atom_site_fract_y
_atom_site_fract_z
_atom_site_occupancy
Pu1 0.0000 0.0000 0.0000 1
Sc1 0.0000 0.5000 0.5000 1
Zn1 0.5000 0.5000 0.0000 1
```

Values from the calculation:
Density of states at the Fermi level   8.78 states/eV/f.u.
ρ   7.79 Mg/m³
Energy above the lowest structure with this stoichiometry   0.104 eV/atom
Formation energy from the elements   3.2 meV/atom

***

(2)
# PuSc5Zn4

Crystalline PuSc5Zn4 at its relaxed geometry (PBE-GGA, the Alexandria database).

Structure (CIF):
```
data_PuSc5Zn4
_chemical_formula_sum 'Pu1 Sc5 Zn4'
_symmetry_space_group_name_H-M 'P 4/m m m'
_symmetry_Int_Tables_number 123
_symmetry_space_group_name_Hall '-P 4 2'
_cell_length_a 3.3254
_cell_length_b 3.3254
_cell_length_c 18.1573
_cell_angle_alpha 90.00
_cell_angle_beta 90.00
_cell_angle_gamma 90.00
loop_
_atom_site_label
_atom_site_fract_x
_atom_site_fract_y
_atom_site_fract_z
_atom_site_occupancy
Pu1 0.0000 0.0000 0.0000 1
Sc1 0.5000 0.5000 0.1274 1
Sc2 0.5000 0.5000 0.3139 1
Sc3 0.5000 0.5000 0.5000 1
Zn1 0.0000 0.0000 0.2201 1
Zn2 0.0000 0.0000 0.4070 1
```

Values from the calculation:
Density of states at the Fermi level   15.53 states/eV/f.u.
ρ   6.04 Mg/m³
Formation energy from the elements   -261.1 meV/atom

***

(3)
# PuSc2Zn6

Crystalline PuSc2Zn6 at its relaxed geometry (PBE-GGA, the Alexandria database).

Structure (CIF):
```
data_PuSc2Zn6
_chemical_formula_sum 'Pu1 Sc2 Zn6'
_symmetry_space_group_name_H-M 'P 6/m m m'
_symmetry_Int_Tables_number 191
_symmetry_space_group_name_Hall '-P 6 2'
_cell_length_a 7.8042
_cell_length_b 7.8042
_cell_length_c 3.0854
_cell_angle_alpha 90.00
_cell_angle_beta 90.00
_cell_angle_gamma 120.00
loop_
_atom_site_label
_atom_site_fract_x
_atom_site_fract_y
_atom_site_fract_z
_atom_site_occupancy
Pu1 0.0000 0.0000 0.0000 1
Sc1 0.3333 0.6667 0.0000 1
Zn1 0.0000 0.3401 0.5000 1
```

Values from the calculation:
Density of states at the Fermi level   12.37 states/eV/f.u.
ρ   7.41 Mg/m³
Formation energy from the elements   -269.7 meV/atom

***

(4)
# Pu3ScZn8

Crystalline Pu3ScZn8 at its relaxed geometry (PBE-GGA, the Alexandria database).

Structure (CIF):
```
data_Pu3ScZn8
_chemical_formula_sum 'Pu3 Sc1 Zn8'
_symmetry_space_group_name_H-M 'P 3 m 1'
_symmetry_Int_Tables_number 156
_symmetry_space_group_name_Hall 'P 3 -2"'
_cell_length_a 5.4237
_cell_length_b 5.4237
_cell_length_c 8.7102
_cell_angle_alpha 90.00
_cell_angle_beta 90.00
_cell_angle_gamma 120.00
loop_
_atom_site_label
_atom_site_fract_x
_atom_site_fract_y
_atom_site_fract_z
_atom_site_occupancy
Pu1 0.0000 0.0000 0.0000 1
Pu2 0.0000 0.0000 0.3667 1
Pu3 0.3333 0.6667 0.8849 1
Sc1 0.3333 0.6667 0.5126 1
Zn1 0.0033 0.5017 0.1946 1
Zn2 0.3301 0.1650 0.6834 1
Zn3 0.6667 0.3333 0.4397 1
Zn4 0.6667 0.3333 0.9364 1
```

Values from the calculation:
Density of states at the Fermi level   22.10 states/eV/f.u.
ρ   9.73 Mg/m³
Formation energy from the elements   -182.8 meV/atom